VASP calculation (GGA+U) on a relaxed structure of Li2MnAgF8.

Summary:
Calculated total energy (eV per atom): -4.515
Space group: No. 119
D(E_F) (states/eV/f.u.): 3.06
Crystal system: tetragonal

abc: 5.8271 5.8271 5.8271
angles: 113.10 113.10 102.43
Atoms (fractional coordinates):
Li (0.0000, 0.0000, 0.0000)
Li (0.7500, 0.2500, 0.5000)
Mn (0.5000, 0.5000, 0.0000)
Ag (0.2500, 0.7500, 0.5000)
F (0.1529, 0.4400, 0.7129)
F (0.2108, 0.0188, 0.8080)
F (0.2108, 0.4029, 0.1920)
F (0.5600, 0.2729, 0.7129)
F (0.5600, 0.8471, 0.2871)
F (0.5971, 0.7892, 0.8080)
F (0.7271, 0.4400, 0.2871)
F (0.9812, 0.7892, 0.1920)